[1]
LaCr2Re, single point on PBEsol structure, DFT SCAN; DFT formation energy = 0.905 eV per atom; D(E_F) = 4.11 states/eV per cell; energy above the most stable polymorph in this dataset = 27.6 meV per atom
1.0
2.799 -0.006 -0.009
-1.091 4.925 0.020
-1.091 -2.000 4.500
Cr La Re
2 1 1
direct
0.000 0.000 0.500
0.000 0.500 0.000
0.500 0.500 0.500
0.500 0.000 0.000

=====

[2]
Ba3Mg, single point on PBEsol structure, DFT SCAN; DFT formation energy = 0.034 eV per atom; D(E_F) = 23.36 states/eV per cell; energy above the most stable polymorph in this dataset = 43.4 meV per atom
1.0
7.864 0.000 0.000
0.000 7.885 0.000
0.000 0.000 12.349
Ba Mg
12 4
direct
0.941 0.989 0.250
0.301 0.192 0.023
0.301 0.192 0.477
0.801 0.308 0.523
0.801 0.308 0.977
0.441 0.511 0.750
0.559 0.489 0.250
0.199 0.692 0.023
0.199 0.692 0.477
0.699 0.808 0.523
0.699 0.808 0.977
0.059 0.011 0.750
0.532 0.046 0.750
0.032 0.454 0.250
0.968 0.546 0.750
0.468 0.954 0.250

=====

[3]
BeFeTc2, single point on PBEsol structure, DFT SCAN; DFT formation energy = -0.039 eV per atom; D(E_F) = 3.06 states/eV per cell
1.0
2.750 0.000 0.000
0.000 4.064 0.000
-1.375 -2.032 4.073
Be Tc Fe
1 2 1
direct
0.513 0.513 0.026
0.992 0.992 0.983
0.765 0.265 0.531
0.230 0.730 0.460

=====

[4]
Ta2TlAg, single point on PBEsol structure, DFT SCAN; DFT formation energy = 0.457 eV per atom; D(E_F) = 3.24 states/eV per cell
1.0
3.009 0.000 0.000
0.000 4.954 -0.016
-1.504 -0.965 4.962
Tl Ag Ta
1 1 2
direct
0.000 0.500 0.000
0.500 0.000 0.000
0.249 0.239 0.497
0.751 0.761 0.503

=====

[5]
TiOsAu3, single point on PBEsol structure, DFT SCAN; DFT formation energy = 1.625 eV per atom; D(E_F) = 3.64 states/eV per cell
1.0
4.730 0.000 0.000
0.000 4.730 0.000
0.000 0.000 4.730
Os Au Ti
1 3 1
direct
0.500 0.500 0.500
0.000 0.500 0.000
0.000 0.000 0.500
0.500 0.000 0.000
0.000 0.000 0.000

=====

[6]
RuF6, single point on PBEsol structure, DFT SCAN; D(E_F) = 31.81 states/eV per cell; uncorrected formation energy = -37.61 kcal/mol of atoms
1.0
-4.897 0.356 0.638
-0.496 -8.506 0.941
1.261 0.940 9.155
Ru F
4 24
direct
0.084 0.250 0.627
0.916 0.750 0.373
0.584 0.750 0.873
0.416 0.250 0.127
0.781 0.250 0.514
0.219 0.750 0.486
0.281 0.750 0.986
0.719 0.250 0.014
0.387 0.250 0.740
0.613 0.750 0.260
0.887 0.750 0.760
0.113 0.250 0.240
0.234 0.401 0.512
0.766 0.599 0.488
0.734 0.599 0.988
0.766 0.901 0.488
0.266 0.401 0.012
0.234 0.099 0.512
0.266 0.099 0.012
0.734 0.901 0.988
0.934 0.401 0.741
0.066 0.599 0.259
0.434 0.599 0.759
0.066 0.901 0.259
0.566 0.401 0.241
0.934 0.099 0.741
0.566 0.099 0.241
0.434 0.901 0.759

=====

[7]
KNa2Sr, single point on PBEsol structure, DFT SCAN; DFT formation energy = 0.166 eV per atom; D(E_F) = 5.32 states/eV per cell; energy above the most stable polymorph in this dataset = 97.4 meV per atom
1.0
7.969 0.000 0.000
3.984 7.037 0.000
3.984 0.000 7.037
Sr K Na
2 2 4
direct
0.000 0.000 0.000
0.750 0.500 0.500
0.500 0.000 0.000
0.250 0.500 0.500
0.614 0.011 0.511
0.136 0.989 0.489
0.375 0.489 0.011
0.875 0.511 0.989

=====

[8]
AgOs2Pt, single point on PBEsol structure, DFT SCAN; DFT formation energy = 0.464 eV per atom; D(E_F) = 2.69 states/eV per cell
1.0
-0.717 -0.310 2.613
-2.260 -1.385 0.639
3.855 -8.284 1.499
Ag Os Pt
1 2 1
direct
0.000 0.000 0.000
0.247 0.247 0.258
0.753 0.753 0.742
0.500 0.500 0.500

=====

[9]
TlCdW, single point on PBEsol structure, DFT SCAN; DFT formation energy = 0.805 eV per atom; D(E_F) = 1.18 states/eV per cell
1.0
-2.182 1.718 -1.133
0.014 -2.951 -0.533
-4.107 -1.136 6.184
Tl W Cd
1 1 1
direct
0.333 0.667 0.655
0.667 0.333 0.328
0.000 0.000 0.016

=====

[10]
In2O3, single point on PBEsol structure, DFT SCAN; uncorrected formation energy = -40.71 kcal/mol of atoms
1.0
-3.292 -3.159 3.116
4.458 -1.757 2.929
-0.971 6.049 5.107
In O
8 12
direct
0.248 0.529 0.115
0.252 0.029 0.385
0.252 0.471 0.615
0.248 0.971 0.885
0.752 0.471 0.885
0.748 0.971 0.615
0.748 0.529 0.385
0.752 0.029 0.115
0.390 0.605 0.850
0.110 0.105 0.650
0.110 0.395 0.350
0.390 0.895 0.150
0.610 0.395 0.150
0.890 0.895 0.350
0.890 0.605 0.650
0.610 0.105 0.850
0.958 0.750 0.000
0.542 0.250 0.500
0.042 0.250 0.000
0.458 0.750 0.500

=====

[11]
Nb3IrS8, single point on PBEsol structure, DFT SCAN; D(E_F) = 7.77 states/eV per cell; energy above the most stable polymorph in this dataset = 0.0 meV per atom; uncorrected formation energy = -21.58 kcal/mol of atoms
1.0
-1.709 0.357 6.388
4.851 -4.104 -1.865
6.245 10.465 -0.573
Nb Ir S
6 2 16
direct
0.374 0.096 0.248
0.863 0.113 0.250
0.848 0.626 0.252
0.152 0.374 0.748
0.137 0.887 0.750
0.626 0.904 0.752
0.577 0.327 0.750
0.423 0.673 0.250
0.485 0.898 0.106
0.967 0.878 0.118
0.980 0.575 0.861
0.020 0.425 0.139
0.729 0.158 0.622
0.536 0.607 0.878
0.464 0.393 0.122
0.208 0.121 0.606
0.271 0.842 0.378
0.515 0.102 0.894
0.240 0.651 0.618
0.033 0.122 0.882
0.792 0.879 0.394
0.714 0.619 0.639
0.760 0.349 0.382
0.286 0.381 0.361

=====

[12]
BaFe2Se, single point on PBEsol structure, DFT SCAN; D(E_F) = 2.19 states/eV per cell; uncorrected formation energy = -0.42 kcal/mol of atoms
1.0
3.363 0.000 0.000
0.000 3.363 0.000
0.000 0.000 7.110
Ba Fe Se
1 2 1
direct
0.500 0.500 0.749
0.000 0.000 0.098
0.500 0.500 0.225
0.000 0.000 0.428

=====

[13]
PbSO4, single point on PBEsol structure, DFT SCAN; D(E_F) = 0.00 states/eV per cell; energy above the most stable polymorph in this dataset = 0.0 meV per atom; uncorrected formation energy = -37.69 kcal/mol of atoms
1.0
-2.061 1.922 4.597
-5.371 -4.354 -0.587
4.240 -5.814 4.331
Pb S O
4 4 16
direct
0.250 0.333 0.690
0.750 0.667 0.310
0.750 0.833 0.810
0.250 0.167 0.190
0.750 0.318 0.936
0.250 0.682 0.064
0.250 0.818 0.564
0.750 0.182 0.436
0.750 0.408 0.094
0.250 0.592 0.906
0.250 0.908 0.406
0.750 0.092 0.594
0.475 0.808 0.081
0.975 0.192 0.919
0.525 0.308 0.419
0.025 0.692 0.581
0.750 0.040 0.304
0.250 0.960 0.696
0.250 0.540 0.196
0.750 0.460 0.804
0.975 0.308 0.419
0.475 0.692 0.581
0.025 0.808 0.081
0.525 0.192 0.919

=====

[14]
Y2Al2In, single point on PBEsol structure, DFT SCAN; DFT formation energy = -0.587 eV per atom; D(E_F) = 5.84 states/eV per cell
1.0
-4.455 0.422 -0.555
-1.018 -1.725 6.857
0.429 6.899 1.799
Y Al In
4 4 2
direct
0.500 0.170 0.670
0.500 0.670 0.830
0.500 0.830 0.330
0.500 0.330 0.170
0.000 0.372 0.872
0.000 0.872 0.628
0.000 0.628 0.128
0.000 0.128 0.372
0.000 0.000 0.000
0.000 0.500 0.500

=====

[15]
ZrBeSiAg2, single point on PBEsol structure, DFT SCAN; D(E_F) = 2.12 states/eV per cell; uncorrected formation energy = 6.78 kcal/mol of atoms
1.0
4.215 0.000 0.000
0.000 4.215 0.000
0.000 0.000 4.785
Be Si Zr Ag
1 1 1 2
direct
0.000 0.000 0.000
0.500 0.500 0.500
0.000 0.000 0.500
0.000 0.500 0.000
0.500 0.000 0.000

=====

[16]
Hg2ClF, single point on PBEsol structure, DFT SCAN; D(E_F) = 2.16 states/eV per cell; uncorrected formation energy = -8.63 kcal/mol of atoms
1.0
-4.140 -2.156 0.840
-2.565 -1.697 -3.610
-0.405 -4.683 -0.626
F Hg Cl
1 2 1
direct
0.000 0.000 0.000
0.250 0.250 0.250
0.750 0.750 0.750
0.500 0.500 0.500

=====

[17]
YOsRu2, single point on PBEsol structure, DFT SCAN; DFT formation energy = 0.204 eV per atom; D(E_F) = 4.18 states/eV per cell; energy above the most stable polymorph in this dataset = 0.0 meV per atom
1.0
-0.629 -0.964 -2.603
1.457 -2.387 0.532
-6.561 -3.373 2.835
Os Ru Y
1 2 1
direct
0.500 0.500 0.787
0.000 0.000 0.000
0.500 0.500 0.215
0.000 0.000 0.499

=====

[18]
Mg2AlTc, single point on PBEsol structure, DFT SCAN; DFT formation energy = -0.052 eV per atom; D(E_F) = 0.76 states/eV per cell
1.0
3.684 0.000 0.000
0.000 3.841 0.000
-1.842 -1.920 4.542
Al Mg Tc
1 2 1
direct
0.000 0.500 0.000
0.753 0.753 0.505
0.247 0.247 0.495
0.500 0.000 0.000

=====

[19]
BaAg3, single point on PBEsol structure, DFT SCAN; DFT formation energy = -0.198 eV per atom; D(E_F) = 1.19 states/eV per cell; energy above the most stable polymorph in this dataset = 0.0 meV per atom
1.0
-0.019 -2.560 -3.944
3.139 -3.454 -0.576
-2.433 -5.547 0.809
Ba Ag
1 3
direct
0.000 0.000 0.000
0.801 0.801 0.597
0.500 0.500 0.500
0.199 0.199 0.403

=====

[20]
Sb3Au2, single point on PBEsol structure, DFT SCAN; D(E_F) = 2.55 states/eV per cell; uncorrected formation energy = -3.09 kcal/mol of atoms
1.0
-3.611 -1.808 -0.545
-0.170 -3.913 -1.126
-1.315 -4.166 7.303
Sb Au
3 2
direct
0.000 0.000 0.000
0.207 0.207 0.378
0.793 0.793 0.622
0.602 0.602 0.195
0.398 0.398 0.805

=====

In eV per atom, the total DFT energy (no corrections) values for the records above are, in order, -36.838 -30.872 -23.190 -58.766 -57.451 -9.640 -9.593 -60.866 -56.681 -18.858 -21.562 -23.990 -20.023 -21.502 -21.266 -37.337 -42.140 -13.242 -33.610 -50.153.
In μB per formula unit, the total magnetization values for the records above are, in order, 0.00 0.46 2.27 0.00 3.85 2.00 0.03 0.00 0.00 0.00 0.00 5.98 0.00 0.00 0.00 0.00 0.00 0.06 0.00 0.00.